Record 1
First-principles (PBE) data for crystalline RbIBrN2 at its relaxed geometry, as listed in the Alexandria database.

Cell: 4.752 4.752 8.894 Å, 90.00 90.00 90.00°
Atoms (fractional coordinates):
Rb  0.000  0.000  0.000
I  0.500  0.500  0.000
Br  0.500  0.500  0.500
N  0.000  0.500  0.500
N  0.500  0.000  0.500

Output
Polymorph energy (0 for the lowest one): 0.000 eV/atom
Space group: No. 123
VASP energy: -2.756 eV/atom
E_form (uncorrected): 1.41 eV per atom

***

Record 2
First-principles (PBE) data for crystalline Ce2Al2GeRh5 at its relaxed geometry, as listed in the Alexandria database.

Cell: 9.900 9.900 3.520 Å, 90.00 90.00 90.00°
Atoms (fractional coordinates):
Ce  0.177  0.323  0.000
Ce  0.323  0.823  0.000
Ce  0.677  0.177  0.000
Ce  0.823  0.677  0.000
Al  0.122  0.622  0.000
Al  0.378  0.122  0.000
Al  0.622  0.878  0.000
Al  0.878  0.378  0.000
Ge  0.000  0.000  0.000
Ge  0.500  0.500  0.000
Rh  0.000  0.500  0.500
Rh  0.067  0.795  0.500
Rh  0.205  0.067  0.500
Rh  0.295  0.567  0.500
Rh  0.433  0.295  0.500
Rh  0.500  0.000  0.500
Rh  0.567  0.705  0.500
Rh  0.705  0.433  0.500
Rh  0.795  0.933  0.500
Rh  0.933  0.205  0.500

Output
Space group: No. 127
DFT formation energy: -726.4 meV/atom
VASP energy: -6.799 eV/atom

***

Record 3
First-principles (PBE) data for crystalline NdCl2 at its relaxed geometry, as listed in the Alexandria database.

Cell: 7.172 7.172 3.574 Å, 90.00 90.00 90.00°
Atoms (fractional coordinates):
Nd  0.000  0.000  0.000
Nd  0.500  0.500  0.500
Cl  0.220  0.220  0.500
Cl  0.280  0.720  0.000
Cl  0.720  0.280  0.000
Cl  0.780  0.780  0.500

Output
Space group: No. 136
VASP energy: -4.767 eV/atom
E_form (uncorrected): -1.95 eV per atom